Density functional theory data (PBE) for an optimized crystal structure of Nb2SnF11.

## Properties
N(E_F) = 0.24 states/eV per atom
formation energy from raw total energies = -2.809 eV/atom
energy = -168.10 eV for the cell shown

Unit cell a=7.8080 b=8.5192 c=8.5192 alpha=73.15 beta=62.72 gamma=62.72
Each line ends with the local moment (μB).
Positions (direct):
F (0.7306, 0.6785, 0.0609)  0.01
F (0.7694, 0.4391, 0.8215)  0.01
F (0.8768, 0.4546, 0.3013)  0.01
F (0.2306, 0.5609, 0.1785)  0.01
F (0.0300, 0.1785, 0.5609)  0.01
F (0.0000, 0.0000, 0.0000)  -0.01
F (0.3671, 0.7173, 0.2827)  0.00
F (0.9700, 0.8215, 0.4391)  0.01
F (0.3768, 0.8013, 0.9546)  0.01
F (0.1329, 0.2173, 0.7827)  0.00
F (0.2694, 0.3215, 0.9391)  0.01
F (0.4700, 0.9391, 0.3215)  0.01
F (0.8673, 0.9546, 0.8013)  0.01
F (0.6327, 0.6987, 0.5454)  0.01
F (0.6329, 0.2827, 0.7173)  0.00
F (0.1232, 0.5454, 0.6987)  0.01
F (0.1327, 0.0454, 0.1987)  0.01
F (0.5300, 0.0609, 0.6785)  0.01
F (0.8671, 0.7827, 0.2173)  0.00
F (0.5000, 0.5000, 0.5000)  -0.01
F (0.3673, 0.3013, 0.4546)  0.01
F (0.6232, 0.1987, 0.0454)  0.01
Nb (0.6309, 0.6799, 0.3201)  0.44
Nb (0.1309, 0.8201, 0.1799)  0.44
Nb (0.8691, 0.1799, 0.8201)  0.44
Nb (0.3691, 0.3201, 0.6799)  0.44
Sn (0.7500, 0.7500, 0.7500)  0.00
Sn (0.2500, 0.2500, 0.2500)  0.00

---

Density functional theory data (PBE) for an optimized crystal structure of SnS6F2.

## Properties
N(E_F) = 0.00 states/eV per atom
formation energy from raw total energies = -0.584 eV/atom
energy = -37.77 eV for the cell shown

Unit cell a=3.8989 b=7.4979 c=7.5018 alpha=96.34 beta=86.99 gamma=86.86
Positions (direct):
S (0.0963, 0.4463, 0.7397)
S (0.0951, 0.7400, 0.4468)
S (0.9049, 0.2600, 0.5532)
S (0.8468, 0.6864, 0.6865)
S (0.9037, 0.5537, 0.2603)
S (0.1532, 0.3136, 0.3135)
F (0.5006, 0.8772, 0.1234)
F (0.4994, 0.1228, 0.8766)
Sn (0.0000, 0.0000, 0.0000)

---

Density functional theory data (PBE) for an optimized crystal structure of Er2CdPd3.

## Properties
N(E_F) = 0.57 states/eV per atom
ΔE_f = -812 meV/atom
energy = -60.98 eV for the cell shown
polymorph energy (0 for the lowest one) = 0 meV/atom

Unit cell a=4.8311 b=4.8311 c=11.7655 alpha=90.00 beta=90.00 gamma=120.00
Positions (direct):
Er (0.0000, 0.0000, 0.0000)
Er (0.0000, 0.0000, 0.5000)
Er (0.6667, 0.3333, 0.8204)
Er (0.3333, 0.6667, 0.1796)
Pd (0.3333, 0.6667, 0.9211)
Pd (0.6667, 0.3333, 0.0789)
Pd (0.0000, 0.0000, 0.7518)
Pd (0.0000, 0.0000, 0.2482)
Pd (0.3333, 0.6667, 0.4236)
Pd (0.6667, 0.3333, 0.5764)
Cd (0.3333, 0.6667, 0.6674)
Cd (0.6667, 0.3333, 0.3326)

---

Density functional theory data (PBE) for an optimized crystal structure of PmYNiRh.

## Properties
N(E_F) = 0.73 states/eV per atom
ΔE_f = -532 meV/atom
energy = -26.48 eV for the cell shown
polymorph energy (0 for the lowest one) = 51 meV/atom

Unit cell a=4.8985 b=4.8985 c=4.8985 alpha=60.00 beta=60.00 gamma=60.00
Positions (direct):
Pm (0.2500, 0.2500, 0.2500)
Rh (0.0000, 0.0000, 0.0000)
Ni (0.5000, 0.5000, 0.5000)
Y (0.7500, 0.7500, 0.7500)

---

Density functional theory data (PBE) for an optimized crystal structure of CrPd3Pt4.

## Properties
N(E_F) = 1.60 states/eV per atom
ΔE_f = -145 meV/atom
energy = -50.53 eV for the cell shown

Unit cell a=3.9178 b=3.9178 c=8.3964 alpha=103.54 beta=103.54 gamma=89.97
Each line ends with the local moment (μB).
Positions (direct):
Pt (0.8790, 0.8789, 0.7583)  -0.04
Pt (0.1210, 0.1211, 0.2417)  -0.04
Pt (0.3790, 0.3789, 0.7583)  -0.04
Pt (0.6210, 0.6211, 0.2417)  -0.04
Pd (0.7512, 0.2511, 0.5021)  0.04
Pd (0.2488, 0.7489, 0.4979)  0.04
Pd (0.0000, 0.5000, 0.0000)  0.07
Cr (0.5000, 0.0000, 0.0000)  2.66

---

Density functional theory data (PBE) for an optimized crystal structure of BaTcTe2.

## Properties
N(E_F) = 1.16 states/eV per atom
formation energy from raw total energies = -0.511 eV/atom
energy = -20.61 eV for the cell shown
polymorph energy (0 for the lowest one) = 0 meV/atom

Unit cell a=4.3986 b=4.3986 c=7.3525 alpha=72.64 beta=72.64 gamma=59.99
Each line ends with the local moment (μB).
Positions (direct):
Te (0.9733, 0.9733, 0.0798)  0.01
Te (0.5267, 0.5267, 0.4202)  0.01
Ba (0.7500, 0.7500, 0.7500)  0.00
Tc (0.2500, 0.2500, 0.2500)  0.66

---

Density functional theory data (PBE) for an optimized crystal structure of BaNaGe2Sb.

## Properties
N(E_F) = 0.55 states/eV per atom
formation energy from raw total energies = 0.270 eV/atom
energy = -15.25 eV for the cell shown

Unit cell a=5.5591 b=6.3451 c=5.5591 alpha=90.00 beta=90.00 gamma=90.00
Positions (direct):
Ba (0.0000, 0.5000, 0.0000)
Ge (0.0000, 0.0000, 0.5000)
Ge (0.5000, 0.0000, 0.0000)
Na (0.5000, 0.5000, 0.5000)
Sb (0.0000, 0.0000, 0.0000)

---

Density functional theory data (PBE) for an optimized crystal structure of LaErTmCd.

## Properties
N(E_F) = 1.55 states/eV per atom
ΔE_f = -132 meV/atom
energy = -15.40 eV for the cell shown
polymorph energy (0 for the lowest one) = 0 meV/atom

Unit cell a=3.6482 b=3.6482 c=8.9442 alpha=90.00 beta=90.00 gamma=90.00
Positions (direct):
Er (0.5000, 0.5000, 0.7858)
La (0.0000, 0.0000, 0.0720)
Tm (0.5000, 0.5000, 0.3569)
Cd (0.0000, 0.0000, 0.5700)

---

Density functional theory data (PBE) for an optimized crystal structure of Ta2BrCl4.

## Properties
N(E_F) = 0.47 states/eV per atom
formation energy from raw total energies = -0.735 eV/atom
energy = -75.83 eV for the cell shown

Unit cell a=6.3274 b=6.3274 c=9.1610 alpha=109.56 beta=109.56 gamma=91.75
Positions (direct):
Cl (0.3788, 0.2881, 0.4046)
Cl (0.5381, 0.1288, 0.9046)
Cl (0.2242, 0.6335, 0.0954)
Cl (0.8197, 0.2096, 0.3024)
Cl (0.4595, 0.5697, 0.8024)
Cl (0.8835, 0.9741, 0.5954)
Cl (0.7674, 0.6572, 0.1976)
Cl (0.9072, 0.5174, 0.6976)
Ta (0.1916, 0.3131, 0.8316)
Ta (0.5631, 0.9416, 0.3316)
Ta (0.6100, 0.2315, 0.6684)
Ta (0.4815, 0.3600, 0.1684)
Br (0.3377, 0.8377, 0.5000)
Br (0.0877, 0.0877, 0.0000)

---

Density functional theory data (PBE) for an optimized crystal structure of Ba2LiHgSe.

## Properties
N(E_F) = 1.04 states/eV per atom
formation energy from raw total energies = -0.843 eV/atom
energy = -13.76 eV for the cell shown

Unit cell a=6.3827 b=6.3827 c=4.7295 alpha=90.00 beta=90.00 gamma=90.00
Positions (direct):
Ba (0.0000, 0.5000, 0.0000)
Ba (0.5000, 0.0000, 0.0000)
Se (0.0000, 0.0000, 0.0000)
Li (0.0000, 0.0000, 0.5000)
Hg (0.5000, 0.5000, 0.5000)

---

Density functional theory data (PBE) for an optimized crystal structure of Tl2Si2Sb.

## Properties
N(E_F) = 0.81 states/eV per atom
formation energy from raw total energies = 0.346 eV/atom
energy = -35.95 eV for the cell shown
polymorph energy (0 for the lowest one) = 65 meV/atom

Unit cell a=7.1383 b=7.1383 c=5.0902 alpha=90.00 beta=90.00 gamma=90.00
Positions (direct):
Si (0.8839, 0.6161, 0.0000)
Si (0.1161, 0.3839, 0.0000)
Si (0.6161, 0.1161, 0.0000)
Si (0.3839, 0.8839, 0.0000)
Tl (0.6848, 0.8152, 0.5000)
Tl (0.3152, 0.1848, 0.5000)
Tl (0.8152, 0.3152, 0.5000)
Tl (0.1848, 0.6848, 0.5000)
Sb (0.0000, 0.0000, 0.0000)
Sb (0.5000, 0.5000, 0.0000)

---

Density functional theory data (PBE) for an optimized crystal structure of RhPb2.

## Properties
N(E_F) = 0.93 states/eV per atom
ΔE_f = -7 meV/atom
energy = -29.58 eV for the cell shown

Unit cell a=13.1665 b=13.1665 c=13.1665 alpha=165.30 beta=165.30 gamma=20.84
Positions (direct):
Rh (0.0000, 0.0000, 0.0000)
Rh (0.2500, 0.7500, 0.5000)
Pb (0.4343, 0.4343, 0.0000)
Pb (0.6843, 0.1843, 0.5000)
Pb (0.5657, 0.5657, 0.0000)
Pb (0.8157, 0.3157, 0.5000)

---

Density functional theory data (PBE) for an optimized crystal structure of Cs3SrAg2F9.

## Properties
N(E_F) = 0.39 states/eV per atom
formation energy from raw total energies = -2.366 eV/atom
energy = -62.27 eV for the cell shown

Unit cell a=6.5101 b=6.5101 c=8.0035 alpha=90.00 beta=90.00 gamma=120.00
Each line ends with the local moment (μB).
Positions (direct):
Ag (0.6667, 0.3333, 0.8437)  0.18
Ag (0.3333, 0.6667, 0.1563)  0.18
F (0.8286, 0.6573, 0.6773)  0.02
F (0.5000, 0.5000, 0.0000)  0.06
F (0.6573, 0.8286, 0.3227)  0.02
F (0.5000, 0.0000, 0.0000)  0.06
F (0.3427, 0.1714, 0.6773)  0.02
F (0.1714, 0.8286, 0.3227)  0.02
F (0.0000, 0.5000, 0.0000)  0.06
F (0.8286, 0.1714, 0.6773)  0.02
F (0.1714, 0.3427, 0.3227)  0.02
Cs (0.0000, 0.0000, 0.0000)  0.00
Cs (0.6667, 0.3333, 0.3267)  0.00
Cs (0.3333, 0.6667, 0.6733)  0.00
Sr (0.0000, 0.0000, 0.5000)  0.00

---

Density functional theory data (PBE) for an optimized crystal structure of LiMnRh2C.

## Properties
N(E_F) = 0.33 states/eV per atom
ΔE_f = -78 meV/atom
energy = -35.40 eV for the cell shown
polymorph energy (0 for the lowest one) = 0 meV/atom

Unit cell a=4.0588 b=4.0588 c=3.9203 alpha=90.00 beta=90.00 gamma=90.00
Each line ends with the local moment (μB).
Positions (direct):
Rh (0.0000, 0.5000, 0.0000)  0.28
Rh (0.5000, 0.0000, 0.0000)  0.28
C (0.0000, 0.0000, 0.0000)  -0.11
Mn (0.0000, 0.0000, 0.5000)  3.27
Li (0.5000, 0.5000, 0.5000)  -0.01

---

Density functional theory data (PBE) for an optimized crystal structure of Ag5S2Cl2.

## Properties
N(E_F) = 0.64 states/eV per atom
formation energy from raw total energies = -0.142 eV/atom
energy = -54.97 eV for the cell shown
polymorph energy (0 for the lowest one) = 34 meV/atom

Unit cell a=6.8704 b=6.7081 c=10.3408 alpha=108.93 beta=109.40 gamma=90.00
Positions (direct):
Ag (0.7318, 0.8593, 0.0632)
Ag (0.7990, 0.7758, 0.7414)
Ag (0.1109, 0.5974, 0.5000)
Ag (0.8314, 0.3593, 0.0632)
Ag (0.2010, 0.0344, 0.2586)
Ag (0.5576, 0.5344, 0.2586)
Ag (0.4424, 0.2758, 0.7414)
Ag (0.2682, 0.7961, 0.9368)
Ag (0.8891, 0.0974, 0.5000)
Ag (0.1686, 0.2961, 0.9368)
S (0.2063, 0.2517, 0.5000)
S (0.0000, 0.0198, 0.0000)
S (0.7937, 0.7517, 0.5000)
S (0.5000, 0.5198, 0.0000)
Cl (0.1710, 0.6323, 0.2631)
Cl (0.5921, 0.1323, 0.2631)
Cl (0.8290, 0.3692, 0.7369)
Cl (0.4079, 0.8692, 0.7369)

---

Density functional theory data (PBE) for an optimized crystal structure of KBi3Pd3.

## Properties
N(E_F) = 1.11 states/eV per atom
ΔE_f = -107 meV/atom
energy = -58.13 eV for the cell shown
polymorph energy (0 for the lowest one) = 76 meV/atom

Unit cell a=7.6555 b=7.6555 c=7.6555 alpha=90.00 beta=90.00 gamma=90.00
Positions (direct):
K (0.0000, 0.0000, 0.0000)
K (0.5000, 0.5000, 0.5000)
Bi (0.2500, 0.5000, 0.0000)
Bi (0.7500, 0.5000, 0.0000)
Bi (0.5000, 0.0000, 0.2500)
Bi (0.0000, 0.7500, 0.5000)
Bi (0.0000, 0.2500, 0.5000)
Bi (0.5000, 0.0000, 0.7500)
Pd (0.5000, 0.7500, 0.0000)
Pd (0.0000, 0.5000, 0.2500)
Pd (0.5000, 0.2500, 0.0000)
Pd (0.0000, 0.5000, 0.7500)
Pd (0.2500, 0.0000, 0.5000)
Pd (0.7500, 0.0000, 0.5000)

---

Density functional theory data (PBE) for an optimized crystal structure of Dy3InPd12.

## Properties
N(E_F) = 0.78 states/eV per atom
ΔE_f = -769 meV/atom
energy = -91.16 eV for the cell shown

Unit cell a=4.1116 b=4.1116 c=16.3402 alpha=90.00 beta=90.00 gamma=90.00
Positions (direct):
Pd (0.5000, 0.5000, 0.0000)
Pd (0.0000, 0.5000, 0.3736)
Pd (0.5000, 0.5000, 0.7530)
Pd (0.0000, 0.5000, 0.1204)
Pd (0.5000, 0.0000, 0.1204)
Pd (0.5000, 0.0000, 0.6264)
Pd (0.5000, 0.5000, 0.2470)
Pd (0.5000, 0.0000, 0.8796)
Pd (0.5000, 0.0000, 0.3736)
Pd (0.0000, 0.5000, 0.8796)
Pd (0.0000, 0.5000, 0.6264)
Pd (0.5000, 0.5000, 0.5000)
Dy (0.0000, 0.0000, 0.2464)
Dy (0.0000, 0.0000, 0.7536)
Dy (0.0000, 0.0000, 0.5000)
In (0.0000, 0.0000, 0.0000)

---

Density functional theory data (PBE) for an optimized crystal structure of CoNiTeN2.

## Properties
N(E_F) = 0.95 states/eV per atom
formation energy from raw total energies = 1.029 eV/atom
energy = -27.53 eV for the cell shown
polymorph energy (0 for the lowest one) = 0 meV/atom

Unit cell a=3.5658 b=3.5658 c=5.7377 alpha=90.00 beta=90.00 gamma=90.00
Each line ends with the local moment (μB).
Positions (direct):
Ni (0.5000, 0.5000, 0.5000)  0.02
N (0.0000, 0.5000, 0.0000)  0.04
N (0.5000, 0.0000, 0.0000)  0.04
Co (0.0000, 0.0000, 0.0000)  0.22
Te (0.0000, 0.0000, 0.5000)  0.01

---

Density functional theory data (PBE) for an optimized crystal structure of Dy5Er5Tm2.

## Properties
N(E_F) = 1.38 states/eV per atom
ΔE_f = 22 meV/atom
energy = -54.51 eV for the cell shown

Unit cell a=4.9596 b=7.8448 c=10.5376 alpha=72.69 beta=76.39 gamma=71.57
Positions (direct):
Tm (0.9166, 0.4171, 0.7498)
Tm (0.0834, 0.5829, 0.2502)
Dy (0.5000, 0.5000, 0.5000)
Dy (0.3335, 0.3332, 0.9998)
Dy (0.5832, 0.0836, 0.7499)
Dy (0.6665, 0.6668, 0.0002)
Dy (0.4168, 0.9164, 0.2501)
Er (0.8331, 0.8335, 0.5002)
Er (0.0000, 0.0000, 0.0000)
Er (0.2505, 0.7496, 0.7493)
Er (0.7495, 0.2504, 0.2507)
Er (0.1669, 0.1665, 0.4998)

---

Density functional theory data (PBE) for an optimized crystal structure of RbCu2Se2.

## Properties
N(E_F) = 0.34 states/eV per atom
formation energy from raw total energies = -0.324 eV/atom
energy = -35.50 eV for the cell shown

Unit cell a=6.6552 b=6.6552 c=8.3843 alpha=113.38 beta=113.38 gamma=90.00
Positions (direct):
Cu (0.1927, 0.3807, 0.7614)
Cu (0.5687, 0.3807, 0.7614)
Cu (0.6307, 0.3187, 0.2614)
Cu (0.6307, 0.9427, 0.2614)
Rb (0.2396, 0.7396, 0.4792)
Rb (0.9896, 0.9896, 0.9792)
Se (0.9710, 0.2148, 0.4296)
Se (0.4586, 0.2148, 0.4296)
Se (0.4648, 0.2086, 0.9296)
Se (0.4648, 0.7210, 0.9296)

---

Respective calculated volume values: 15.906; 24.140; 19.817; 20.778; 15.202; 28.910; 39.218; 29.760; 22.959; 38.534; 25.937; 24.482; 19.584; 12.917; 23.450; 32.047; 17.265; 14.591; 30.568; 30.735 A^3/atom.